# BaCaGe | the Alexandria database | GGA-PBEsol | optimized geometry
data_BaCaGe
_cell_length_a 8.498
_cell_length_b 5.017
_cell_length_c 9.082
_cell_angle_alpha 90.00
_cell_angle_beta 90.00
_cell_angle_gamma 90.00
_space_group_name_H-M_alt 'P n m a'
_space_group_IT_number 62
_space_group_name_Hall '-P 2ac 2n'
loop_
_atom_site_label
_atom_site_type_symbol
_atom_site_fract_x
_atom_site_fract_y
_atom_site_fract_z
Ba1 Ba 0.028 0.250 0.175
Ca1 Ca 0.142 0.250 0.575
Ge1 Ge 0.219 0.750 0.391
# Total moment (μB/f.u.): 0.000
# V (Å³/atom): 32.27
# Formation enthalpy at 0 K (eV/f.u.): -1.81
# VASP energy (eV/atom): -3.68

# Ba3CaGe | the Alexandria database | GGA-PBEsol | optimized geometry
data_Ba3CaGe
_cell_length_a 6.222
_cell_length_b 6.222
_cell_length_c 6.222
_cell_angle_alpha 90.00
_cell_angle_beta 90.00
_cell_angle_gamma 90.00
_space_group_name_H-M_alt 'P m -3 m'
_space_group_IT_number 221
_space_group_name_Hall '-P 4 2 3'
loop_
_atom_site_label
_atom_site_type_symbol
_atom_site_fract_x
_atom_site_fract_y
_atom_site_fract_z
Ba1 Ba 0.000 0.000 0.500
Ca1 Ca 0.000 0.000 0.000
Ge1 Ge 0.500 0.500 0.500
# Total moment (μB/f.u.): 0.000
# V (Å³/atom): 48.19
# Formation enthalpy at 0 K (eV/f.u.): 3.88
# VASP energy (eV/atom): -1.93

# Ba2CaGe2 | the Alexandria database | GGA-PBEsol | optimized geometry
data_Ba2CaGe2
_cell_length_a 8.024
_cell_length_b 8.024
_cell_length_c 5.073
_cell_angle_alpha 90.00
_cell_angle_beta 90.00
_cell_angle_gamma 90.00
_space_group_name_H-M_alt 'P 4/m b m'
_space_group_IT_number 127
_space_group_name_Hall '-P 4 2ab'
loop_
_atom_site_label
_atom_site_type_symbol
_atom_site_fract_x
_atom_site_fract_y
_atom_site_fract_z
Ba1 Ba 0.172 0.328 0.000
Ca1 Ca 0.000 0.000 0.500
Ge1 Ge 0.112 0.612 0.500
# Total moment (μB/f.u.): 0.483
# V (Å³/atom): 32.66
# Formation enthalpy at 0 K (eV/f.u.): -2.52
# VASP energy (eV/atom): -3.77